The following is a PBE calculation of an optimized crystal structure of TcOsPt2, from the Alexandria database.

Geometry as CIF:
```
data_TcOsPt2
_cell_length_a 5.6238
_cell_length_b 5.6238
_cell_length_c 11.1842
_cell_angle_alpha 90.00
_cell_angle_beta 90.00
_cell_angle_gamma 90.00
_symmetry_space_group_name_H-M 'I -4 2 d'
_symmetry_Int_Tables_number 122
_symmetry_space_group_name_Hall 'I -4 2bw'
loop_
_atom_site_label
_atom_site_type_symbol
_atom_site_fract_x
_atom_site_fract_y
_atom_site_fract_z
_atom_site_occupancy
Tc1 Tc 0.0000 0.0000 0.0000 1
Os1 Os 0.0000 0.0000 0.5000 1
Pt1 Pt 0.2491 0.2500 0.6250 1
```

Output
Its formation energy is 108 kJ/mol of atoms. As for the energy: -7.30 eV/atom. The size of the total moment comes out at 0.0 μB per formula unit. Its energy above the most stable polymorph in this dataset is 1.215 eV/atom.